[1]
Density functional theory data (GGA-PBE) for a geometry-optimized CaGaAu2 structure.

theoretical density	7.913	g/cm3
uncorrected energy	-3.26	eV per atom

Cell and atoms, written as CIF:
```
data_CaGaAu2
_space_group_name_H-M_alt 'I -4 2 d'
_space_group_IT_number 122
_space_group_name_Hall 'I -4 2bw'
_cell_length_a 5.024
_cell_length_b 5.024
_cell_length_c 16.750
_cell_angle_alpha 90.00
_cell_angle_beta 90.00
_cell_angle_gamma 90.00
loop_
_atom_site_label
_atom_site_type_symbol
_atom_site_fract_x
_atom_site_fract_y
_atom_site_fract_z
_atom_site_occupancy
Ca1 Ca 0.000 0.000 0.000 1
Ga1 Ga 0.000 0.000 0.500 1
Au1 Au 0.147 0.250 0.625 1
```

---

[2]
Density functional theory data (GGA-PBE) for a geometry-optimized CaGa2Au structure.

theoretical density	7.587	g/cm3
uncorrected energy	-3.24	eV per atom

Cell and atoms, written as CIF:
```
data_CaGa2Au
_space_group_name_H-M_alt 'P 4/m m m'
_space_group_IT_number 123
_space_group_name_Hall '-P 4 2'
_cell_length_a 4.250
_cell_length_b 4.250
_cell_length_c 4.563
_cell_angle_alpha 90.00
_cell_angle_beta 90.00
_cell_angle_gamma 90.00
loop_
_atom_site_label
_atom_site_type_symbol
_atom_site_fract_x
_atom_site_fract_y
_atom_site_fract_z
_atom_site_occupancy
Ca1 Ca 0.000 0.000 0.000 1
Ga1 Ga 0.000 0.500 0.500 1
Au1 Au 0.500 0.500 0.000 1
```

---

[3]
Density functional theory data (GGA-PBE) for a geometry-optimized CaGaAu11 structure.

theoretical density	14.936	g/cm3
uncorrected energy	-3.37	eV per atom

Cell and atoms, written as CIF:
```
data_CaGaAu11
_space_group_name_H-M_alt 'C 1 2/m 1'
_space_group_IT_number 12
_space_group_name_Hall '-C 2y'
_cell_length_a 5.536
_cell_length_b 13.526
_cell_length_c 7.123
_cell_angle_alpha 90.00
_cell_angle_beta 108.36
_cell_angle_gamma 90.00
loop_
_atom_site_label
_atom_site_type_symbol
_atom_site_fract_x
_atom_site_fract_y
_atom_site_fract_z
_atom_site_occupancy
Ca1 Ca 0.000 0.000 0.000 1
Ga1 Ga 0.000 0.500 0.500 1
Au1 Au 0.000 0.000 0.500 1
Au2 Au 0.079 0.395 0.220 1
Au3 Au 0.145 0.175 0.349 1
Au4 Au 0.250 0.250 0.000 1
```

---

[4]
Density functional theory data (GGA-PBE) for a geometry-optimized Ca2Ga3Au5 structure.

theoretical density	10.402	g/cm3
uncorrected energy	-3.49	eV per atom
energy relative to the lowest polymorph listed for this composition	0.000	eV per atom

Cell and atoms, written as CIF:
```
data_Ca2Ga3Au5
_space_group_name_H-M_alt 'C m c 21'
_space_group_IT_number 36
_space_group_name_Hall 'C 2c -2'
_cell_length_a 4.573
_cell_length_b 24.678
_cell_length_c 7.210
_cell_angle_alpha 90.00
_cell_angle_beta 90.00
_cell_angle_gamma 90.00
loop_
_atom_site_label
_atom_site_type_symbol
_atom_site_fract_x
_atom_site_fract_y
_atom_site_fract_z
_atom_site_occupancy
Ca1 Ca 0.000 0.020 0.000 1
Ca2 Ca 0.000 0.322 0.069 1
Ga1 Ga 0.000 0.108 0.318 1
Ga2 Ga 0.000 0.279 0.600 1
Ga3 Ga 0.000 0.450 0.187 1
Au1 Au 0.000 0.102 0.695 1
Au2 Au 0.000 0.205 0.882 1
Au3 Au 0.000 0.213 0.306 1
Au4 Au 0.000 0.380 0.476 1
Au5 Au 0.000 0.448 0.804 1
```

---

[5]
Density functional theory data (GGA-PBE) for a geometry-optimized CaGaAu4 structure.

theoretical density	12.373	g/cm3
uncorrected energy	-3.45	eV per atom
energy relative to the lowest polymorph listed for this composition	0.009	eV per atom

Cell and atoms, written as CIF:
```
data_CaGaAu4
_space_group_name_H-M_alt 'C 1 2/m 1'
_space_group_IT_number 12
_space_group_name_Hall '-C 2y'
_cell_length_a 13.327
_cell_length_b 6.981
_cell_length_c 5.435
_cell_angle_alpha 90.00
_cell_angle_beta 107.64
_cell_angle_gamma 90.00
loop_
_atom_site_label
_atom_site_type_symbol
_atom_site_fract_x
_atom_site_fract_y
_atom_site_fract_z
_atom_site_occupancy
Ca1 Ca 0.209 0.000 0.153 1
Ga1 Ga 0.043 0.500 0.768 1
Au1 Au 0.000 0.196 0.000 1
Au2 Au 0.118 0.199 0.592 1
Au3 Au 0.178 0.500 0.267 1
```

---

[6]
Density functional theory data (GGA-PBE) for a geometry-optimized Ca3Ga2Au3 structure.

theoretical density	7.592	g/cm3
uncorrected energy	-3.44	eV per atom
energy relative to the lowest polymorph listed for this composition	0.000	eV per atom

Cell and atoms, written as CIF:
```
data_Ca3Ga2Au3
_space_group_name_H-M_alt 'C m c m'
_space_group_IT_number 63
_space_group_name_Hall '-C 2c 2'
_cell_length_a 4.536
_cell_length_b 10.896
_cell_length_c 15.054
_cell_angle_alpha 90.00
_cell_angle_beta 90.00
_cell_angle_gamma 90.00
loop_
_atom_site_label
_atom_site_type_symbol
_atom_site_fract_x
_atom_site_fract_y
_atom_site_fract_z
_atom_site_occupancy
Ca1 Ca 0.000 0.085 0.105 1
Ca2 Ca 0.000 0.374 0.250 1
Ga1 Ga 0.000 0.213 0.596 1
Au1 Au 0.000 0.332 0.750 1
Au2 Au 0.000 0.382 0.045 1
```

---

[7]
Density functional theory data (GGA-PBE) for a geometry-optimized Ca2Ga7Au12 structure.

theoretical density	11.780	g/cm3
uncorrected energy	-3.42	eV per atom

Cell and atoms, written as CIF:
```
data_Ca2Ga7Au12
_space_group_name_H-M_alt 'P -1'
_space_group_IT_number 2
_space_group_name_Hall '-P 1'
_cell_length_a 4.334
_cell_length_b 10.378
_cell_length_c 10.442
_cell_angle_alpha 61.95
_cell_angle_beta 85.67
_cell_angle_gamma 88.57
loop_
_atom_site_label
_atom_site_type_symbol
_atom_site_fract_x
_atom_site_fract_y
_atom_site_fract_z
_atom_site_occupancy
Ca1 Ca 0.235 0.176 0.168 1
Ga1 Ga 0.235 0.608 0.092 1
Ga2 Ga 0.299 0.093 0.787 1
Ga3 Ga 0.300 0.788 0.589 1
Ga4 Ga 0.500 0.500 0.500 1
Au1 Au 0.180 0.744 0.366 1
Au2 Au 0.189 0.385 0.360 1
Au3 Au 0.211 0.045 0.572 1
Au4 Au 0.236 0.882 0.046 1
Au5 Au 0.274 0.583 0.861 1
Au6 Au 0.282 0.349 0.781 1
```

---

[8]
Density functional theory data (GGA-PBE) for a geometry-optimized CaGa4Au3 structure.

theoretical density	9.109	g/cm3
uncorrected energy	-3.43	eV per atom

Cell and atoms, written as CIF:
```
data_CaGa4Au3
_space_group_name_H-M_alt 'P 4/m m m'
_space_group_IT_number 123
_space_group_name_Hall '-P 4 2'
_cell_length_a 4.253
_cell_length_b 4.253
_cell_length_c 9.170
_cell_angle_alpha 90.00
_cell_angle_beta 90.00
_cell_angle_gamma 90.00
loop_
_atom_site_label
_atom_site_type_symbol
_atom_site_fract_x
_atom_site_fract_y
_atom_site_fract_z
_atom_site_occupancy
Ca1 Ca 0.000 0.000 0.000 1
Ga1 Ga 0.000 0.500 0.323 1
Au1 Au 0.000 0.000 0.500 1
Au2 Au 0.500 0.500 0.150 1
```

---

[9]
Density functional theory data (GGA-PBE) for a geometry-optimized CaGaAu4 structure.

theoretical density	12.282	g/cm3
uncorrected energy	-3.46	eV per atom
energy relative to the lowest polymorph listed for this composition	0.000	eV per atom

Cell and atoms, written as CIF:
```
data_CaGaAu4
_space_group_name_H-M_alt 'C m c m'
_space_group_IT_number 63
_space_group_name_Hall '-C 2c 2'
_cell_length_a 4.314
_cell_length_b 16.913
_cell_length_c 6.654
_cell_angle_alpha 90.00
_cell_angle_beta 90.00
_cell_angle_gamma 90.00
loop_
_atom_site_label
_atom_site_type_symbol
_atom_site_fract_x
_atom_site_fract_y
_atom_site_fract_z
_atom_site_occupancy
Ca1 Ca 0.000 0.109 0.250 1
Ga1 Ga 0.000 0.231 0.750 1
Au1 Au 0.000 0.070 0.750 1
Au2 Au 0.000 0.331 0.039 1
Au3 Au 0.000 0.500 0.000 1
```

---

[10]
Density functional theory data (GGA-PBE) for a geometry-optimized CaGa2Au4 structure.

theoretical density	11.617	g/cm3
uncorrected energy	-3.48	eV per atom
energy relative to the lowest polymorph listed for this composition	0.000	eV per atom

Cell and atoms, written as CIF:
```
data_CaGa2Au4
_space_group_name_H-M_alt 'P 1 21/c 1'
_space_group_IT_number 14
_space_group_name_Hall '-P 2ybc'
_cell_length_a 5.109
_cell_length_b 16.573
_cell_length_c 8.180
_cell_angle_alpha 90.00
_cell_angle_beta 127.00
_cell_angle_gamma 90.00
loop_
_atom_site_label
_atom_site_type_symbol
_atom_site_fract_x
_atom_site_fract_y
_atom_site_fract_z
_atom_site_occupancy
Ca1 Ca 0.127 0.147 0.407 1
Ga1 Ga 0.186 0.035 0.812 1
Ga2 Ga 0.417 0.712 0.597 1
Au1 Au 0.109 0.682 0.812 1
Au2 Au 0.206 0.569 0.565 1
Au3 Au 0.348 0.537 0.084 1
Au4 Au 0.361 0.177 0.131 1
```

---

[11]
Density functional theory data (GGA-PBE) for a geometry-optimized Ca3Ga3Au8 structure.

theoretical density	10.897	g/cm3
uncorrected energy	-3.54	eV per atom

Cell and atoms, written as CIF:
```
data_Ca3Ga3Au8
_space_group_name_H-M_alt 'C 1 2/m 1'
_space_group_IT_number 12
_space_group_name_Hall '-C 2y'
_cell_length_a 16.410
_cell_length_b 4.675
_cell_length_c 8.993
_cell_angle_alpha 90.00
_cell_angle_beta 122.69
_cell_angle_gamma 90.00
loop_
_atom_site_label
_atom_site_type_symbol
_atom_site_fract_x
_atom_site_fract_y
_atom_site_fract_z
_atom_site_occupancy
Ca1 Ca 0.000 0.000 0.000 1
Ca2 Ca 0.208 0.500 0.728 1
Ga1 Ga 0.000 0.000 0.500 1
Ga2 Ga 0.169 0.500 0.330 1
Au1 Au 0.005 0.500 0.330 1
Au2 Au 0.130 0.000 0.840 1
Au3 Au 0.140 0.000 0.431 1
Au4 Au 0.156 0.500 0.038 1
```

---

[12]
Density functional theory data (GGA-PBE) for a geometry-optimized Ca2Ga3Au structure.

theoretical density	6.104	g/cm3
uncorrected energy	-3.33	eV per atom
energy relative to the lowest polymorph listed for this composition	0.000	eV per atom

Cell and atoms, written as CIF:
```
data_Ca2Ga3Au
_space_group_name_H-M_alt 'F m m m'
_space_group_IT_number 69
_space_group_name_Hall '-F 2 2'
_cell_length_a 7.391
_cell_length_b 9.082
_cell_length_c 15.766
_cell_angle_alpha 90.00
_cell_angle_beta 90.00
_cell_angle_gamma 90.00
loop_
_atom_site_label
_atom_site_type_symbol
_atom_site_fract_x
_atom_site_fract_y
_atom_site_fract_z
_atom_site_occupancy
Ca1 Ca 0.244 0.000 0.000 1
Ca2 Ca 0.250 0.250 0.250 1
Ga1 Ga 0.000 0.000 0.335 1
Ga2 Ga 0.000 0.249 0.417 1
Au1 Au 0.000 0.000 0.167 1
```

---

[13]
Density functional theory data (GGA-PBE) for a geometry-optimized Ca4Ga3Au structure.

theoretical density	4.480	g/cm3
uncorrected energy	-3.08	eV per atom

Cell and atoms, written as CIF:
```
data_Ca4Ga3Au
_space_group_name_H-M_alt 'P m m 2'
_space_group_IT_number 25
_space_group_name_Hall 'P 2 -2'
_cell_length_a 4.114
_cell_length_b 4.460
_cell_length_c 11.444
_cell_angle_alpha 90.00
_cell_angle_beta 90.00
_cell_angle_gamma 90.00
loop_
_atom_site_label
_atom_site_type_symbol
_atom_site_fract_x
_atom_site_fract_y
_atom_site_fract_z
_atom_site_occupancy
Ca1 Ca 0.000 0.000 0.000 1
Ca2 Ca 0.000 0.500 0.289 1
Ca3 Ca 0.500 0.000 0.495 1
Ca4 Ca 0.500 0.500 0.789 1
Ga1 Ga 0.000 0.000 0.711 1
Ga2 Ga 0.000 0.500 0.576 1
Ga3 Ga 0.500 0.500 0.076 1
Au1 Au 0.500 0.000 0.210 1
```

---

[14]
Density functional theory data (GGA-PBE) for a geometry-optimized Ca3Ga4Au2 structure.

theoretical density	6.642	g/cm3
uncorrected energy	-3.38	eV per atom

Cell and atoms, written as CIF:
```
data_Ca3Ga4Au2
_space_group_name_H-M_alt 'C 1 2/m 1'
_space_group_IT_number 12
_space_group_name_Hall '-C 2y'
_cell_length_a 10.864
_cell_length_b 4.514
_cell_length_c 8.755
_cell_angle_alpha 90.00
_cell_angle_beta 112.53
_cell_angle_gamma 90.00
loop_
_atom_site_label
_atom_site_type_symbol
_atom_site_fract_x
_atom_site_fract_y
_atom_site_fract_z
_atom_site_occupancy
Ca1 Ca 0.000 0.000 0.000 1
Ca2 Ca 0.181 0.500 0.649 1
Ga1 Ga 0.018 0.000 0.360 1
Ga2 Ga 0.242 0.500 0.078 1
Au1 Au 0.097 0.500 0.266 1
```

---

[15]
Density functional theory data (GGA-PBE) for a geometry-optimized Ca2Ga2Au structure.

theoretical density	5.525	g/cm3
uncorrected energy	-3.08	eV per atom
energy relative to the lowest polymorph listed for this composition	0.184	eV per atom

Cell and atoms, written as CIF:
```
data_Ca2Ga2Au
_space_group_name_H-M_alt 'I 4/m m m'
_space_group_IT_number 139
_space_group_name_Hall '-I 4 2'
_cell_length_a 3.759
_cell_length_b 3.759
_cell_length_c 17.716
_cell_angle_alpha 90.00
_cell_angle_beta 90.00
_cell_angle_gamma 90.00
loop_
_atom_site_label
_atom_site_type_symbol
_atom_site_fract_x
_atom_site_fract_y
_atom_site_fract_z
_atom_site_occupancy
Ca1 Ca 0.000 0.000 0.099 1
Ga1 Ga 0.000 0.500 0.250 1
Au1 Au 0.000 0.000 0.500 1
```

---

[16]
Density functional theory data (GGA-PBE) for a geometry-optimized Ca6GaAu structure.

theoretical density	2.658	g/cm3
uncorrected energy	-2.47	eV per atom

Cell and atoms, written as CIF:
```
data_Ca6GaAu
_space_group_name_H-M_alt 'C 1 2/m 1'
_space_group_IT_number 12
_space_group_name_Hall '-C 2y'
_cell_length_a 13.517
_cell_length_b 10.872
_cell_length_c 10.907
_cell_angle_alpha 90.00
_cell_angle_beta 127.75
_cell_angle_gamma 90.00
loop_
_atom_site_label
_atom_site_type_symbol
_atom_site_fract_x
_atom_site_fract_y
_atom_site_fract_z
_atom_site_occupancy
Ca1 Ca 0.028 0.181 0.190 1
Ca2 Ca 0.142 0.500 0.461 1
Ca3 Ca 0.168 0.177 0.683 1
Ca4 Ca 0.231 0.500 0.882 1
Ga1 Ga 0.250 0.250 0.000 1
Au1 Au 0.250 0.250 0.500 1
```

---

[17]
Density functional theory data (GGA-PBE) for a geometry-optimized CaGa2Au structure.

theoretical density	7.101	g/cm3
uncorrected energy	-3.30	eV per atom

Cell and atoms, written as CIF:
```
data_CaGa2Au
_space_group_name_H-M_alt 'R -3 m'
_space_group_IT_number 166
_space_group_name_Hall '-R 3 2"'
_cell_length_a 4.4006
_cell_length_b 4.4006
_cell_length_c 15.7482
_cell_angle_alpha 90.00
_cell_angle_beta 90.00
_cell_angle_gamma 120.00
loop_
_atom_site_label
_atom_site_type_symbol
_atom_site_fract_x
_atom_site_fract_y
_atom_site_fract_z
_atom_site_occupancy
Ca1 Ca 0.0000 0.0000 0.0000 1
Ga1 Ga 0.0000 0.0000 0.2177 1
Au1 Au 0.0000 0.0000 0.5000 1
```

---

[18]
Density functional theory data (GGA-PBE) for a geometry-optimized Ca2Ga2Au structure.

theoretical density	5.936	g/cm3
uncorrected energy	-3.22	eV per atom
energy relative to the lowest polymorph listed for this composition	0.042	eV per atom

Cell and atoms, written as CIF:
```
data_Ca2Ga2Au
_space_group_name_H-M_alt 'A m m 2'
_space_group_IT_number 38
_space_group_name_Hall 'A 2 -2'
_cell_length_a 3.674
_cell_length_b 4.576
_cell_length_c 13.863
_cell_angle_alpha 90.00
_cell_angle_beta 90.00
_cell_angle_gamma 90.00
loop_
_atom_site_label
_atom_site_type_symbol
_atom_site_fract_x
_atom_site_fract_y
_atom_site_fract_z
_atom_site_occupancy
Ca1 Ca 0.000 0.000 0.000 1
Ca2 Ca 0.000 0.000 0.245 1
Ga1 Ga 0.500 0.000 0.623 1
Ga2 Ga 0.500 0.000 0.817 1
Au1 Au 0.500 0.000 0.424 1
```

---

[19]
Density functional theory data (GGA-PBE) for a geometry-optimized Ca2Ga5Au3 structure.

theoretical density	8.195	g/cm3
uncorrected energy	-3.43	eV per atom
energy relative to the lowest polymorph listed for this composition	0.000	eV per atom

Cell and atoms, written as CIF:
```
data_Ca2Ga5Au3
_space_group_name_H-M_alt 'I b a m'
_space_group_IT_number 72
_space_group_name_Hall '-I 2 2c'
_cell_length_a 11.447
_cell_length_b 11.905
_cell_length_c 6.064
_cell_angle_alpha 90.00
_cell_angle_beta 90.00
_cell_angle_gamma 90.00
loop_
_atom_site_label
_atom_site_type_symbol
_atom_site_fract_x
_atom_site_fract_y
_atom_site_fract_z
_atom_site_occupancy
Ca1 Ca 0.250 0.124 0.000 1
Ga1 Ga 0.000 0.000 0.250 1
Ga2 Ga 0.000 0.252 0.250 1
Ga3 Ga 0.138 0.375 0.000 1
Au1 Au 0.000 0.500 0.250 1
Au2 Au 0.140 0.125 0.500 1
```

---

[20]
Density functional theory data (GGA-PBE) for a geometry-optimized CaGa2Au structure.

theoretical density	6.321	g/cm3
uncorrected energy	-3.16	eV per atom

Cell and atoms, written as CIF:
```
data_CaGa2Au
_space_group_name_H-M_alt 'I -4 2 d'
_space_group_IT_number 122
_space_group_name_Hall 'I -4 2bw'
_cell_length_a 4.612
_cell_length_b 4.612
_cell_length_c 18.603
_cell_angle_alpha 90.00
_cell_angle_beta 90.00
_cell_angle_gamma 90.00
loop_
_atom_site_label
_atom_site_type_symbol
_atom_site_fract_x
_atom_site_fract_y
_atom_site_fract_z
_atom_site_occupancy
Ca1 Ca 0.000 0.000 0.000 1
Ga1 Ga 0.107 0.250 0.625 1
Au1 Au 0.000 0.000 0.500 1
```